(1)
VASP calculation (PBE-GGA) on a relaxed Zn2Cd2Hg crystal.

Cell lengths 6.998, 6.998, 6.998 Å; angles 144.97, 144.97, 50.37 degrees
Fractional coordinates of all 5 atoms:
Zn 0.096 0.096 0.000
Zn 0.904 0.904 0.000
Cd 0.250 0.750 0.500
Cd 0.750 0.250 0.500
Hg 0.500 0.500 0.000

The symmetry is No. 139. As for the relative energy among the computed polymorphs: 0.057 eV/atom. The calculated density is 8.2 Mg/m³. As for the magnetic moment: 0.00 Bohr magnetons per cell. Its formation energy is 0.1358 eV per atom. The density of states at the Fermi level comes out at 1.83 states/eV/f.u. The total energy is -0.8002 eV per atom.

=====

(2)
VASP calculation (PBE-GGA) on a relaxed Zn2CdHg crystal.

Cell lengths 3.623, 4.394, 5.174 Å; angles 90.00, 103.27, 90.00 degrees
Fractional coordinates of all 4 atoms:
Zn 0.000 0.000 0.000
Zn 0.104 0.500 0.293
Cd 0.653 0.000 0.458
Hg 0.450 0.500 0.832

The symmetry is No. 6. As for the relative energy among the computed polymorphs: 0.012 eV/atom. The calculated density is 9.2 Mg/m³. As for the magnetic moment: 0.00 Bohr magnetons per cell. Its formation energy is 0.0883 eV per atom. The density of states at the Fermi level comes out at 0.81 states/eV/f.u. The total energy is -0.8529 eV per atom.

=====

(3)
VASP calculation (PBE-GGA) on a relaxed Zn2CdHg crystal.

Cell lengths 2.822, 3.907, 7.222 Å; angles 90.00, 90.00, 90.00 degrees
Fractional coordinates of all 4 atoms:
Zn 0.000 0.000 0.000
Zn 0.500 0.500 0.185
Cd 0.000 0.000 0.439
Hg 0.500 0.500 0.737

The symmetry is No. 25. As for the relative energy among the computed polymorphs: 0.013 eV/atom. The calculated density is 9.3 Mg/m³. As for the magnetic moment: 0.00 Bohr magnetons per cell. Its formation energy is 0.0897 eV per atom. The density of states at the Fermi level comes out at 1.45 states/eV/f.u. The total energy is -0.8515 eV per atom.

=====

(4)
VASP calculation (PBE-GGA) on a relaxed Zn2CdHg crystal.

Cell lengths 9.406, 9.406, 9.406 Å; angles 19.32, 19.32, 19.32 degrees
Fractional coordinates of all 4 atoms:
Zn 0.000 0.000 0.000
Zn 0.266 0.266 0.266
Cd 0.749 0.749 0.749
Hg 0.514 0.514 0.514

The symmetry is No. 160. As for the relative energy among the computed polymorphs: 0.009 eV/atom. The calculated density is 9.3 Mg/m³. As for the magnetic moment: 0.00 Bohr magnetons per cell. Its formation energy is 0.0853 eV per atom. The density of states at the Fermi level comes out at 0.59 states/eV/f.u. The total energy is -0.8559 eV per atom.

=====

(5)
VASP calculation (PBE-GGA) on a relaxed ZnCd8Hg2 crystal.

Cell lengths 3.043, 7.359, 11.636 Å; angles 80.29, 84.79, 83.75 degrees
Fractional coordinates of all 11 atoms:
Zn 0.000 0.000 0.000
Cd 0.169 0.875 0.617
Cd 0.221 0.324 0.566
Cd 0.350 0.317 0.015
Cd 0.426 0.918 0.212
Cd 0.572 0.083 0.788
Cd 0.650 0.683 0.986
Cd 0.775 0.678 0.435
Cd 0.828 0.126 0.384
Hg 0.355 0.477 0.242
Hg 0.641 0.524 0.758

The symmetry is No. 1. The calculated density is 8.9 Mg/m³. As for the magnetic moment: 0.00 Bohr magnetons per cell. Its formation energy is 0.0344 eV per atom. The density of states at the Fermi level comes out at 3.49 states/eV/f.u. The total energy is -0.8019 eV per atom.

=====

(6)
VASP calculation (PBE-GGA) on a relaxed ZnCd7Hg4 crystal.

Cell lengths 3.404, 3.404, 27.645 Å; angles 90.00, 90.00, 120.00 degrees
Fractional coordinates of all 12 atoms:
Zn 0.000 0.000 0.000
Cd 0.000 0.000 0.246
Cd 0.000 0.000 0.500
Cd 0.000 0.000 0.754
Cd 0.333 0.667 0.669
Cd 0.333 0.667 0.925
Cd 0.667 0.333 0.075
Cd 0.667 0.333 0.331
Hg 0.333 0.667 0.161
Hg 0.333 0.667 0.415
Hg 0.667 0.333 0.585
Hg 0.667 0.333 0.839

The symmetry is No. 164. The calculated density is 9.9 Mg/m³. As for the magnetic moment: 0.00 Bohr magnetons per cell. Its formation energy is 0.0329 eV per atom. The density of states at the Fermi level comes out at 3.93 states/eV/f.u. The total energy is -0.7076 eV per atom.

=====

(7)
VASP calculation (PBE-GGA) on a relaxed Zn2CdHg crystal.

Cell lengths 5.141, 5.141, 5.141 Å; angles 129.73, 129.73, 73.84 degrees
Fractional coordinates of all 4 atoms:
Zn 0.250 0.750 0.500
Zn 0.750 0.250 0.500
Cd 0.000 0.000 0.000
Hg 0.500 0.500 0.000

The symmetry is No. 139. As for the relative energy among the computed polymorphs: 0.040 eV/atom. The calculated density is 9.4 Mg/m³. As for the magnetic moment: 0.00 Bohr magnetons per cell. Its formation energy is 0.1163 eV per atom. The density of states at the Fermi level comes out at 1.20 states/eV/f.u. The total energy is -0.8249 eV per atom.

=====

(8)
VASP calculation (PBE-GGA) on a relaxed ZnCd2Hg crystal.

Cell lengths 3.656, 4.043, 5.826 Å; angles 90.00, 90.00, 90.00 degrees
Fractional coordinates of all 4 atoms:
Zn 0.000 0.000 0.000
Cd 0.000 0.000 0.502
Cd 0.500 0.500 0.250
Hg 0.500 0.500 0.763

The symmetry is No. 25. As for the relative energy among the computed polymorphs: 0.015 eV/atom. The calculated density is 9.5 Mg/m³. As for the magnetic moment: 0.00 Bohr magnetons per cell. Its formation energy is 0.0672 eV per atom. The density of states at the Fermi level comes out at 0.88 states/eV/f.u. The total energy is -0.7843 eV per atom.

=====

(9)
VASP calculation (PBE-GGA) on a relaxed ZnCd7Hg3 crystal.

Cell lengths 13.334, 13.334, 12.261 Å; angles 90.00, 90.00, 166.34 degrees
Fractional coordinates of all 22 atoms:
Zn 0.033 0.967 0.750
Zn 0.967 0.033 0.250
Cd 0.285 0.715 0.750
Cd 0.294 0.706 0.039
Cd 0.294 0.706 0.461
Cd 0.408 0.592 0.102
Cd 0.408 0.592 0.398
Cd 0.471 0.529 0.609
Cd 0.471 0.529 0.891
Cd 0.529 0.471 0.109
Cd 0.529 0.471 0.391
Cd 0.592 0.408 0.602
Cd 0.592 0.408 0.898
Cd 0.706 0.294 0.539
Cd 0.706 0.294 0.961
Cd 0.715 0.285 0.250
Hg 0.129 0.871 0.121
Hg 0.129 0.871 0.379
Hg 0.172 0.828 0.750
Hg 0.828 0.172 0.250
Hg 0.871 0.129 0.621
Hg 0.871 0.129 0.879

The symmetry is No. 63. The calculated density is 9.4 Mg/m³. As for the magnetic moment: 0.00 Bohr magnetons per cell. Its formation energy is 0.0555 eV per atom. The density of states at the Fermi level comes out at 3.57 states/eV/f.u. The total energy is -0.7249 eV per atom.

=====

(10)
VASP calculation (PBE-GGA) on a relaxed ZnCdHg2 crystal.

Cell lengths 3.887, 4.443, 5.327 Å; angles 90.00, 90.00, 90.00 degrees
Fractional coordinates of all 4 atoms:
Zn 0.000 0.000 0.000
Cd 0.500 0.000 0.500
Hg 0.000 0.500 0.500
Hg 0.500 0.500 0.000

The symmetry is No. 47. As for the relative energy among the computed polymorphs: 0.048 eV/atom. The calculated density is 10.5 Mg/m³. As for the magnetic moment: 0.00 Bohr magnetons per cell. Its formation energy is 0.1110 eV per atom. The density of states at the Fermi level comes out at 1.50 states/eV/f.u. The total energy is -0.5872 eV per atom.

=====

(11)
VASP calculation (PBE-GGA) on a relaxed Zn2Cd9Hg3 crystal.

Cell lengths 5.256, 7.901, 7.901 Å; angles 84.87, 88.50, 88.51 degrees
Fractional coordinates of all 14 atoms:
Zn 0.000 0.125 0.375
Zn 0.000 0.875 0.625
Cd 0.121 0.227 0.018
Cd 0.121 0.519 0.728
Cd 0.375 0.366 0.416
Cd 0.376 0.916 0.866
Cd 0.500 0.000 0.500
Cd 0.624 0.084 0.134
Cd 0.625 0.634 0.584
Cd 0.879 0.481 0.272
Cd 0.879 0.773 0.982
Hg 0.218 0.778 0.279
Hg 0.500 0.500 0.000
Hg 0.782 0.222 0.721

The symmetry is No. 2. The calculated density is 8.9 Mg/m³. As for the magnetic moment: 0.00 Bohr magnetons per cell. Its formation energy is 0.0521 eV per atom. The density of states at the Fermi level comes out at 4.31 states/eV/f.u. The total energy is -0.7829 eV per atom.